Computed, not measured: crystalline Mn2WCl at its relaxed geometry at the GGA-PBE level of DFT.

a = 4.3433 Å, b = 4.3433 Å, c = 4.3433 Å
α = 60.00°, β = 60.00°, γ = 60.00°
Closest atoms and distances in Å follow each position.
Element x y z (fractional)
Cl: 0.5000 0.5000 0.5000  4 Mn 2.66, 4 W 2.66
Mn: 0.0000 0.0000 0.0000  4 Mn 2.66, 4 W 2.66
Mn: 0.2500 0.2500 0.2500  4 Cl 2.66, 4 Mn 2.66
W: 0.7500 0.7500 0.7500  4 Mn 2.66, 4 Cl 2.66

Calculated values
As for the total magnetization: 5.3 μB/cell. The uncorrected formation energy comes out at 3.63 eV per formula unit.